Record 1
Below is TaZnIr2 after structural relaxation, with properties calculated at the GGA-PBEsol level.

Cell lengths 2.927, 2.927, 6.840 Å; angles 90.00, 90.00, 90.00 degrees
Fractional positions:
Ta: 0.000 0.000 0.000
Zn: 0.000 0.000 0.500
Ir: 0.500 0.500 0.260
Ir: 0.500 0.500 0.740

Values from the calculation:
DFT formation energy = -0.452 eV per atom

---

Record 2
Below is TlCr5S8 after structural relaxation, with properties calculated at the GGA-PBEsol level.

Cell lengths 8.983, 8.983, 8.475 Å; angles 104.67, 104.67, 21.98 degrees
Fractional positions:
Tl: 0.000 0.000 0.000
Cr: 0.158 0.158 0.472
Cr: 0.204 0.204 0.835
Cr: 0.500 0.500 0.500
Cr: 0.796 0.796 0.165
Cr: 0.842 0.842 0.528
S: 0.076 0.076 0.653
S: 0.262 0.262 0.344
S: 0.330 0.330 0.010
S: 0.415 0.415 0.677
S: 0.585 0.585 0.323
S: 0.670 0.670 0.990
S: 0.738 0.738 0.656
S: 0.924 0.924 0.347

Values from the calculation:
energy relative to the elements, uncorrected = -64.3 kJ/mol of atoms

---

Record 3
Below is ZrTiCu2B after structural relaxation, with properties calculated at the GGA-PBEsol level.

Cell lengths 3.954, 3.954, 4.321 Å; angles 90.00, 90.00, 90.00 degrees
Fractional positions:
Zr: 0.000 0.000 0.000
Ti: 0.500 0.500 0.000
Cu: 0.000 0.500 0.500
Cu: 0.500 0.000 0.500
B: 0.500 0.500 0.500

Values from the calculation:
DFT formation energy = -0.040 eV per atom

---

Record 4
Below is Cs2FeO4 after structural relaxation, with properties calculated at the GGA-PBEsol level.

Cell lengths 8.331, 6.193, 10.992 Å; angles 90.00, 90.00, 90.00 degrees
Fractional positions:
Cs: 0.014 0.250 0.194
Cs: 0.165 0.750 0.410
Cs: 0.335 0.250 0.910
Cs: 0.486 0.750 0.694
Cs: 0.514 0.250 0.306
Cs: 0.665 0.750 0.090
Cs: 0.835 0.250 0.590
Cs: 0.986 0.750 0.806
Fe: 0.235 0.750 0.081
Fe: 0.265 0.250 0.581
Fe: 0.735 0.750 0.419
Fe: 0.765 0.250 0.919
O: 0.039 0.750 0.088
O: 0.193 0.033 0.648
O: 0.193 0.467 0.648
O: 0.204 0.250 0.438
O: 0.296 0.750 0.938
O: 0.307 0.533 0.148
O: 0.307 0.967 0.148
O: 0.461 0.250 0.588
O: 0.539 0.750 0.412
O: 0.693 0.033 0.852
O: 0.693 0.467 0.852
O: 0.704 0.250 0.062
O: 0.796 0.750 0.562
O: 0.807 0.533 0.352
O: 0.807 0.967 0.352
O: 0.961 0.250 0.912

Values from the calculation:
energy relative to the elements, uncorrected = -141.1 kJ/mol of atoms

---

Record 5
Below is YCI after structural relaxation, with properties calculated at the GGA-PBEsol level.

Cell lengths 4.077, 4.077, 10.522 Å; angles 93.25, 93.25, 56.22 degrees
Fractional positions:
Y: 0.143 0.143 0.131
Y: 0.857 0.857 0.869
C: 0.423 0.423 0.031
C: 0.577 0.577 0.969
I: 0.174 0.174 0.671
I: 0.826 0.826 0.329

Values from the calculation:
energy relative to the elements, uncorrected = -86.5 kJ/mol of atoms

---

Record 6
Below is ZnInSe after structural relaxation, with properties calculated at the GGA-PBEsol level.

Cell lengths 3.813, 3.813, 5.141 Å; angles 90.00, 90.00, 120.00 degrees
Fractional positions:
Zn: 0.000 0.000 0.000
In: 0.333 0.667 0.643
Se: 0.667 0.333 0.250

Values from the calculation:
energy relative to the elements, uncorrected = -26.3 kJ/mol of atoms
ΔE to the lowest computed polymorph = 0.00 kcal/mol of atoms

---

Record 7
Below is SrMg2Tc after structural relaxation, with properties calculated at the GGA-PBEsol level.

Cell lengths 5.376, 5.376, 5.376 Å; angles 130.29, 130.29, 72.95 degrees
Fractional positions:
Sr: 0.000 0.000 0.000
Mg: 0.250 0.750 0.500
Mg: 0.500 0.500 0.000
Tc: 0.750 0.250 0.500

Values from the calculation:
ΔE to the lowest computed polymorph = 3.12 kcal/mol of atoms
DFT formation energy = 0.626 eV per atom

---

Record 8
Below is LiNiN after structural relaxation, with properties calculated at the GGA-PBEsol level.

Cell lengths 3.544, 3.544, 3.392 Å; angles 90.00, 90.00, 120.00 degrees
Fractional positions:
Li: 0.000 0.000 0.000
Ni: 0.667 0.333 0.500
N: 0.667 0.333 0.000

Values from the calculation:
energy relative to the elements, uncorrected = -8.5 kJ/mol of atoms

---

Record 9
Below is YFe4P12 after structural relaxation, with properties calculated at the GGA-PBEsol level.

Cell lengths 6.664, 6.664, 6.664 Å; angles 109.47, 109.47, 109.47 degrees
Fractional positions:
Y: 0.000 0.000 0.000
Fe: 0.000 0.000 0.500
Fe: 0.000 0.500 0.000
Fe: 0.500 0.000 0.000
Fe: 0.500 0.500 0.500
P: 0.152 0.504 0.352
P: 0.152 0.800 0.648
P: 0.200 0.352 0.848
P: 0.352 0.152 0.504
P: 0.352 0.848 0.200
P: 0.496 0.648 0.848
P: 0.504 0.352 0.152
P: 0.648 0.152 0.800
P: 0.648 0.848 0.496
P: 0.800 0.648 0.152
P: 0.848 0.200 0.352
P: 0.848 0.496 0.648

Values from the calculation:
DFT formation energy = -0.706 eV per atom

---

Record 10
Below is AsOsRh after structural relaxation, with properties calculated at the GGA-PBEsol level.

Cell lengths 4.133, 4.133, 4.133 Å; angles 60.00, 60.00, 60.00 degrees
Fractional positions:
As: 0.000 0.000 0.000
Os: 0.500 0.500 0.500
Rh: 0.750 0.750 0.750

Values from the calculation:
DFT formation energy = 0.662 eV per atom

---

Record 11
Below is DyCdNi4 after structural relaxation, with properties calculated at the GGA-PBEsol level.

Cell lengths 4.885, 4.885, 4.885 Å; angles 60.00, 60.00, 60.00 degrees
Fractional positions:
Dy: 0.000 0.000 0.000
Cd: 0.250 0.250 0.250
Ni: 0.128 0.624 0.624
Ni: 0.624 0.128 0.624
Ni: 0.624 0.624 0.128
Ni: 0.624 0.624 0.624

Values from the calculation:
DFT formation energy = -0.378 eV per atom

---

Record 12
Below is MgTi3Nb after structural relaxation, with properties calculated at the GGA-PBEsol level.

Cell lengths 4.767, 4.767, 4.767 Å; angles 90.00, 90.00, 90.00 degrees
Fractional positions:
Mg: 0.000 0.000 0.000
Ti: 0.000 0.500 0.500
Ti: 0.500 0.000 0.500
Ti: 0.500 0.500 0.000
Nb: 0.500 0.500 0.500

Values from the calculation:
DFT formation energy = 0.884 eV per atom

---

Record 13
Below is Sc2CrAu after structural relaxation, with properties calculated at the GGA-PBEsol level.

Cell lengths 4.662, 4.662, 4.662 Å; angles 60.00, 60.00, 60.00 degrees
Fractional positions:
Sc: 0.000 0.000 0.000
Sc: 0.250 0.250 0.250
Cr: 0.500 0.500 0.500
Au: 0.750 0.750 0.750

Values from the calculation:
DFT formation energy = -0.070 eV per atom

---

Record 14
Below is BeCu2Mo after structural relaxation, with properties calculated at the GGA-PBEsol level.

Cell lengths 4.970, 4.970, 4.970 Å; angles 150.56, 127.63, 61.22 degrees
Fractional positions:
Be: 0.000 0.000 0.000
Cu: 0.215 0.715 0.500
Cu: 0.470 0.470 0.000
Mo: 0.747 0.247 0.500

Values from the calculation:
DFT formation energy = 0.255 eV per atom

---

Record 15
Below is BaTl2Rh after structural relaxation, with properties calculated at the GGA-PBEsol level.

Cell lengths 6.228, 6.228, 6.228 Å; angles 146.68, 126.79, 64.25 degrees
Fractional positions:
Ba: 0.000 0.000 0.000
Tl: 0.297 0.797 0.500
Tl: 0.703 0.203 0.500
Rh: 0.500 0.500 0.000

Values from the calculation:
DFT formation energy = -0.110 eV per atom

---

Record 16
Below is NaMg2TcC after structural relaxation, with properties calculated at the GGA-PBEsol level.

Cell lengths 5.113, 5.113, 3.931 Å; angles 90.00, 90.00, 90.00 degrees
Fractional positions:
Na: 0.000 0.000 0.000
Mg: 0.000 0.500 0.500
Mg: 0.500 0.000 0.500
Tc: 0.500 0.500 0.500
C: 0.500 0.500 0.000

Values from the calculation:
DFT formation energy = 0.718 eV per atom

---

Record 17
Below is KFeSe3 after structural relaxation, with properties calculated at the GGA-PBEsol level.

Cell lengths 5.362, 5.362, 5.362 Å; angles 90.00, 90.00, 90.00 degrees
Fractional positions:
K: 0.000 0.000 0.000
Fe: 0.500 0.500 0.500
Se: 0.000 0.000 0.500
Se: 0.000 0.500 0.000
Se: 0.500 0.000 0.000

Values from the calculation:
energy relative to the elements, uncorrected = 152.6 kJ/mol of atoms

---

Record 18
Below is SrIn2Hg after structural relaxation, with properties calculated at the GGA-PBEsol level.

Cell lengths 5.299, 5.299, 5.299 Å; angles 60.00, 60.00, 60.00 degrees
Fractional positions:
Sr: 0.000 0.000 0.000
In: 0.250 0.250 0.250
In: 0.500 0.500 0.500
Hg: 0.750 0.750 0.750

Values from the calculation:
DFT formation energy = -0.378 eV per atom

---

Record 19
Below is CuNi2As after structural relaxation, with properties calculated at the GGA-PBEsol level.

Cell lengths 4.479, 4.479, 3.554 Å; angles 113.25, 113.25, 45.58 degrees
Fractional positions:
Cu: 0.000 0.000 0.000
Ni: 0.246 0.246 0.747
Ni: 0.493 0.493 0.493
As: 0.750 0.750 0.250

Values from the calculation:
DFT formation energy = -0.094 eV per atom

---

Record 20
Below is GaAuCl2F after structural relaxation, with properties calculated at the GGA-PBEsol level.

Cell lengths 5.267, 5.267, 3.660 Å; angles 90.00, 90.00, 90.00 degrees
Fractional positions:
Ga: 0.000 0.000 0.000
Au: 0.500 0.500 0.000
Cl: 0.000 0.500 0.500
Cl: 0.500 0.000 0.500
F: 0.000 0.000 0.500

Values from the calculation:
energy relative to the elements, uncorrected = -11.9 kJ/mol of atoms